(1)
A plane-wave DFT calculation with SCAN was carried out for a crystal of MgTlGe2 relaxed with PBEsol.

Cell: 4.959 4.959 4.959 Å, 60.00 60.00 60.00°
Fractional positions:
Mg 0.000 0.000 0.000
Tl 0.500 0.500 0.500
Ge 0.250 0.250 0.250
Ge 0.750 0.750 0.750

Values from the calculation:
The value obtained for the uncorrected energy is -114.418 eV per cell. Its space group is Fm-3m (225). The calculation puts the energy of formation at 0.27 eV/atom. The value obtained for the density of states at the Fermi level is 0.4775 states/eV per atom.

=====

(2)
A plane-wave DFT calculation with SCAN was carried out for a crystal of Sm2VFeO6 relaxed with PBEsol.

Cell: 5.233 5.503 7.489 Å, 90.00 89.61 90.00°
Site moments in Bohr magnetons follow the coordinates.
Fractional positions:
Sm 0.484 0.561 0.250  0.00
Sm 0.016 0.061 0.250  0.00
Sm 0.516 0.439 0.750  0.00
Sm 0.984 0.939 0.750  0.00
V 0.500 0.000 0.500  1.21
V 0.000 0.500 0.000  1.21
Fe 0.500 0.000 0.000  -0.23
Fe 0.000 0.500 0.500  -0.23
O 0.201 0.794 0.043  -0.01
O 0.299 0.294 0.457  -0.01
O 0.799 0.205 0.544  0.01
O 0.701 0.705 0.956  0.01
O 0.799 0.206 0.957  -0.01
O 0.701 0.706 0.543  -0.01
O 0.201 0.795 0.456  0.01
O 0.299 0.295 0.044  0.01
O 0.583 0.981 0.250  -0.03
O 0.917 0.481 0.250  -0.03
O 0.417 0.019 0.750  -0.03
O 0.083 0.519 0.750  -0.03

Values from the calculation:
The value obtained for the uncorrected energy is -384.167 eV per cell. Its space group is P2_1/c (14). The calculation puts the formation energy (no corrections) at -3.019 eV per atom. The value obtained for the density of states at the Fermi level is 0.1071 states/eV per atom.

=====

(3)
A plane-wave DFT calculation with SCAN was carried out for a crystal of LaZn2Ni2 relaxed with PBEsol.

Cell: 4.313 4.313 5.438 Å, 113.36 113.36 90.00°
Fractional positions:
Ni 0.250 0.750 0.500
Ni 0.750 0.250 0.500
Zn 0.363 0.363 0.725
Zn 0.637 0.637 0.275
La 0.000 0.000 0.000

Values from the calculation:
The value obtained for the uncorrected energy is -103.911 eV per cell. Its space group is I4/mmm (139). The calculation puts the energy of formation at -0.29 eV/atom. The value obtained for the density of states at the Fermi level is 0.7355 states/eV per atom.

=====

(4)
A plane-wave DFT calculation with SCAN was carried out for a crystal of LaMgAg relaxed with PBEsol.

Cell: 3.449 4.971 4.971 Å, 120.00 90.00 90.00°
Fractional positions:
Mg 0.500 0.667 0.333
Ag 0.500 0.000 0.000
La 0.000 0.333 0.667

Values from the calculation:
The value obtained for the uncorrected energy is -80.192 eV per cell. Its space group is P-6m2 (187). The calculation puts the energy of formation at -0.25 eV/atom. The value obtained for the density of states at the Fermi level is 0.6059 states/eV per atom.

=====

(5)
A plane-wave DFT calculation with SCAN was carried out for a crystal of MgAgPt2 relaxed with PBEsol.

Cell: 2.885 4.745 4.745 Å, 106.95 90.00 90.00°
Fractional positions:
Mg 0.500 0.500 0.500
Pt 0.000 0.500 0.000
Pt 0.000 0.000 0.500
Ag 0.500 0.000 0.000

Values from the calculation:
The value obtained for the uncorrected energy is -178.627 eV per cell. Its space group is Cmmm (65). The calculation puts the energy of formation at -0.47 eV/atom. The value obtained for the density of states at the Fermi level is 0.3670 states/eV per atom.

=====

(6)
A plane-wave DFT calculation with SCAN was carried out for a crystal of Ba6Na2P2Ru2O17 relaxed with PBEsol.

Cell: 5.771 5.771 29.227 Å, 90.00 90.00 120.00°
Site moments in Bohr magnetons follow the coordinates.
Fractional positions:
Ba 0.333 0.667 0.322  0.01
Ba 0.333 0.667 0.910  0.01
Ba 0.000 0.000 0.500  0.00
Ba 0.000 0.000 0.250  0.01
Ba 0.333 0.667 0.178  0.01
Ba 0.000 0.000 0.000  0.00
Ba 0.000 0.000 0.750  0.01
Ba 0.333 0.667 0.590  0.01
Ba 0.667 0.333 0.410  0.01
Ba 0.667 0.333 0.678  0.01
Ba 0.667 0.333 0.822  0.01
Ba 0.667 0.333 0.090  0.01
Na 0.000 0.000 0.379  0.00
Na 0.000 0.000 0.121  0.00
Na 0.000 0.000 0.879  0.00
Na 0.000 0.000 0.621  0.00
P 0.333 0.667 0.447  0.00
P 0.333 0.667 0.053  0.00
P 0.667 0.333 0.947  0.00
P 0.667 0.333 0.553  0.00
Ru 0.333 0.667 0.797  1.92
Ru 0.333 0.667 0.703  1.92
Ru 0.667 0.333 0.297  1.92
Ru 0.667 0.333 0.203  1.92
O 0.176 0.824 0.831  0.22
O 0.176 0.824 0.669  0.22
O 0.513 0.026 0.250  0.10
O 0.187 0.813 0.428  0.00
O 0.187 0.813 0.072  0.00
O 0.974 0.487 0.250  0.10
O 0.626 0.813 0.428  0.00
O 0.649 0.824 0.831  0.22
O 0.333 0.667 0.000  0.00
O 0.333 0.667 0.500  0.00
O 0.626 0.813 0.072  0.00
O 0.649 0.824 0.669  0.22
O 0.187 0.374 0.428  0.00
O 0.187 0.374 0.072  0.00
O 0.824 0.649 0.331  0.22
O 0.824 0.649 0.169  0.22
O 0.513 0.487 0.250  0.10
O 0.487 0.513 0.750  0.10
O 0.176 0.351 0.831  0.22
O 0.176 0.351 0.669  0.22
O 0.813 0.626 0.928  0.00
O 0.813 0.626 0.572  0.00
O 0.026 0.513 0.750  0.10
O 0.667 0.333 0.000  0.00
O 0.667 0.333 0.500  0.00
O 0.351 0.176 0.331  0.22
O 0.351 0.176 0.169  0.22
O 0.374 0.187 0.928  0.00
O 0.374 0.187 0.572  0.00
O 0.813 0.187 0.928  0.00
O 0.813 0.187 0.572  0.00
O 0.487 0.974 0.750  0.10
O 0.824 0.176 0.331  0.22
O 0.824 0.176 0.169  0.22

Values from the calculation:
The value obtained for the uncorrected energy is -1036.320 eV per cell. Its space group is P6_3/mmc (194). The calculation puts the formation energy (no corrections) at -2.622 eV per atom.

=====

(7)
A plane-wave DFT calculation with SCAN was carried out for a crystal of CdHg2Te relaxed with PBEsol.

Cell: 3.070 3.070 10.874 Å, 90.00 90.00 103.19°
Fractional positions:
Te 0.500 0.500 0.500
Hg 0.000 0.000 0.234
Hg 0.000 0.000 0.766
Cd 0.500 0.500 0.000

Values from the calculation:
The value obtained for the uncorrected energy is -203.636 eV per cell. Its offset from the most stable computed form is 0.241 eV/f.u. Its space group is Cmmm (65). The calculation puts the formation energy (no corrections) at 0.090 eV per atom. The value obtained for the density of states at the Fermi level is 0.3873 states/eV per atom.

=====

(8)
A plane-wave DFT calculation with SCAN was carried out for a crystal of YSiNi relaxed with PBEsol.

Cell: 4.258 4.258 4.258 Å, 60.00 60.00 60.00°
Fractional positions:
Ni 0.250 0.250 0.250
Si 0.000 0.000 0.000
Y 0.500 0.500 0.500

Values from the calculation:
The value obtained for the uncorrected energy is -55.621 eV per cell. Its space group is F-43m (216). The calculation puts the formation energy (no corrections) at -0.530 eV per atom. The value obtained for the density of states at the Fermi level is 2.1271 states/eV per atom.

=====

(9)
A plane-wave DFT calculation with SCAN was carried out for a crystal of CoReNi relaxed with PBEsol.

Cell: 3.840 3.840 3.840 Å, 60.00 60.00 60.00°
Site moments in Bohr magnetons follow the coordinates.
Fractional positions:
Re 0.000 0.000 0.000  0.03
Co 0.500 0.500 0.500  1.92
Ni 0.250 0.250 0.250  -0.10

Values from the calculation:
The value obtained for the uncorrected energy is -102.568 eV per cell. Its offset from the most stable computed form is 1.807 eV/f.u. Its space group is F-43m (216). The calculation puts the energy of formation at 0.67 eV/atom. The value obtained for the density of states at the Fermi level is 0.7376 states/eV per atom.

=====

(10)
A plane-wave DFT calculation with SCAN was carried out for a crystal of NaZrRu3 relaxed with PBEsol.

Cell: 4.371 4.371 4.371 Å, 90.00 90.00 90.00°
Fractional positions:
Ru 0.000 0.500 0.000
Ru 0.000 0.000 0.500
Ru 0.500 0.000 0.000
Zr 0.500 0.500 0.500
Na 0.000 0.000 0.000

Values from the calculation:
The value obtained for the uncorrected energy is -130.900 eV per cell. Its space group is Pm-3m (221). The calculation puts the energy of formation at 1.70 eV/atom. The value obtained for the density of states at the Fermi level is 0.9262 states/eV per atom.

=====

(11)
A plane-wave DFT calculation with SCAN was carried out for a crystal of ZnAuBr3 relaxed with PBEsol.

Cell: 5.016 5.016 5.016 Å, 90.00 90.00 90.00°
Fractional positions:
Zn 0.000 0.000 0.000
Au 0.500 0.500 0.500
Br 0.000 0.500 0.000
Br 0.000 0.000 0.500
Br 0.500 0.000 0.000

Values from the calculation:
The value obtained for the uncorrected energy is -140.985 eV per cell. Its space group is Pm-3m (221). The calculation puts the formation energy (no corrections) at 0.013 eV per atom. The value obtained for the density of states at the Fermi level is 0.3912 states/eV per atom.